1.
Compound: Zn2CrCdIr
Source: Alexandria
Functional: GGA-PBE
Structure: relaxed

Unit cell a=4.858 b=4.858 c=4.686 alpha=90.00 beta=90.00 gamma=90.00
Fractional coordinates of all 5 atoms:
Zn 0.000 0.500 0.000
Zn 0.500 0.000 0.000
Cr 0.000 0.000 0.500
Cd 0.500 0.500 0.500
Ir 0.000 0.000 0.000

Values from the calculation:
ΔH_f (0 K), kJ/mol of formula units: 230
Energy, eV/atom: -3.91

2.
Compound: La2Ag
Source: Alexandria
Functional: GGA-PBE
Structure: relaxed

Unit cell a=6.434 b=6.434 c=6.434 alpha=60.00 beta=60.00 gamma=60.00
Fractional coordinates of all 6 atoms:
La 0.000 0.000 0.000
La 0.000 0.000 0.500
La 0.000 0.500 0.000
La 0.500 0.000 0.000
Ag 0.375 0.375 0.375
Ag 0.625 0.625 0.625

Values from the calculation:
ΔH_f (0 K), kJ/mol of formula units: 115
Energy, eV/atom: -3.84

3.
Compound: La6Mg5Al
Source: Alexandria
Functional: GGA-PBE
Structure: relaxed

Unit cell a=8.778 b=8.778 c=7.901 alpha=90.00 beta=90.00 gamma=143.19
Fractional coordinates of all 12 atoms:
La 0.000 0.000 0.238
La 0.000 0.000 0.762
La 0.338 0.662 0.243
La 0.338 0.662 0.757
La 0.662 0.338 0.243
La 0.662 0.338 0.757
Mg 0.168 0.832 0.500
Mg 0.171 0.829 0.000
Mg 0.500 0.500 0.500
Mg 0.829 0.171 0.000
Mg 0.832 0.168 0.500
Al 0.500 0.500 0.000

Values from the calculation:
ΔH_f (0 K), kJ/mol of formula units: -187
Energy, eV/atom: -3.60

4.
Compound: CeEuAlAg
Source: Alexandria
Functional: GGA-PBE
Structure: relaxed

Unit cell a=5.325 b=5.325 c=5.325 alpha=60.00 beta=60.00 gamma=60.00
Fractional coordinates of all 4 atoms:
Ce 0.000 0.000 0.000
Eu 0.500 0.500 0.500
Al 0.250 0.250 0.250
Ag 0.750 0.750 0.750

Values from the calculation:
ΔH_f (0 K), kJ/mol of formula units: -62
Energy, eV/atom: -5.86

5.
Compound: Ac3Hg4Pd2
Source: Alexandria
Functional: GGA-PBE
Structure: relaxed

Unit cell a=5.947 b=5.947 c=9.250 alpha=101.61 beta=101.61 gamma=51.95
Fractional coordinates of all 9 atoms:
Ac 0.000 0.000 0.000
Ac 0.373 0.373 0.306
Ac 0.627 0.627 0.694
Hg 0.083 0.083 0.387
Hg 0.296 0.296 0.920
Hg 0.704 0.704 0.080
Hg 0.917 0.917 0.613
Pd 0.316 0.316 0.621
Pd 0.684 0.684 0.379

Values from the calculation:
ΔH_f (0 K), kJ/mol of formula units: -476
Energy, eV/atom: -3.21

6.
Compound: Pr2SmTe2Se2
Source: Alexandria
Functional: GGA-PBE
Structure: relaxed

Unit cell a=8.908 b=8.908 c=8.908 alpha=144.61 beta=144.61 gamma=50.92
Fractional coordinates of all 7 atoms:
Pr 0.117 0.117 0.000
Pr 0.883 0.883 0.000
Sm 0.500 0.500 0.000
Te 0.311 0.311 0.000
Te 0.689 0.689 0.000
Se 0.000 0.500 0.500
Se 0.500 0.000 0.500

Values from the calculation:
Energy relative to the elements, uncorrected, meV per atom: -1306
Energy, eV/atom: -5.24